# PBE-GGA MoOsSe, optimized geometry
# * DFT total energy: -7.864 eV/atom
# * volume: 199.4 Å³ per cell
# * DOS(E_F): 12.26 states/eV per cell
# * ΔE_f (raw): 651 meV per atom
data_MoOsSe
_symmetry_space_group_name_H-M 'F m m 2'
_symmetry_Int_Tables_number 42
_symmetry_space_group_name_Hall 'F 2 -2'
_cell_length_a 3.022
_cell_length_b 4.740
_cell_length_c 13.918
_cell_angle_alpha 90.00
_cell_angle_beta 90.00
_cell_angle_gamma 90.00
loop_
_atom_site_label
_atom_site_fract_x
_atom_site_fract_y
_atom_site_fract_z
Mo1 0.000 0.000 0.000
Os1 0.000 0.000 0.352
Se1 0.000 0.000 0.663